VASP calculation (GGA-PBE) on a relaxed structure of CsIrOs3.

abc: 4.879 4.879 4.879
angles: 90.00 90.00 90.00
Positions (direct):
Cs 0.500 0.500 0.500
Ir 0.000 0.000 0.000
Os 0.000 0.500 0.000
Os 0.000 0.000 0.500
Os 0.500 0.000 0.000

Output
Distance to the lowest polymorph of the same formula   0.000 eV per atom
Crystal system   cubic
Density of states at the Fermi level   1.480 states/eV per atom
SG   Pm-3m, No. 221
Total energy   -6.38 eV/atom
DFT formation energy   2.30 eV/atom

---

VASP calculation (GGA-PBE) on a relaxed structure of LiTlH3.

abc: 3.764 3.764 3.764
angles: 90.00 90.00 90.00
Positions (direct):
H 0.000 0.500 0.000
H 0.000 0.000 0.500
H 0.500 0.000 0.000
Tl 0.500 0.500 0.500
Li 0.000 0.000 0.000

Output
Distance to the lowest polymorph of the same formula   0.000 eV per atom
Crystal system   cubic
Density of states at the Fermi level   0.295 states/eV per atom
SG   Pm-3m, No. 221
Total energy   -2.53 eV/atom

---

VASP calculation (GGA-PBE) on a relaxed structure of BaAlSe3.

abc: 7.312 6.723 6.294
angles: 90.01 115.49 79.41
Positions (direct):
Ba 0.336 0.908 0.413
Ba 0.650 0.393 0.071
Al 0.993 0.151 0.742
Al 0.993 0.651 0.742
Se 0.181 0.355 0.087
Se 0.805 0.947 0.397
Se 0.292 0.823 0.892
Se 0.805 0.947 0.899
Se 0.181 0.355 0.585
Se 0.694 0.478 0.592

Output
Distance to the lowest polymorph of the same formula   0.000 eV per atom
Formation energy (no corrections)   -5.9 eV per formula unit
Crystal system   monoclinic
Density of states at the Fermi level   0.332 states/eV per atom
SG   C2/m, No. 12
Total energy   -4.41 eV/atom

---

VASP calculation (GGA-PBE) on a relaxed structure of CrHg3B.

abc: 5.313 5.313 5.313
angles: 90.00 90.00 90.00
Positions (direct):
Cr 0.000 0.000 0.000
B 0.500 0.500 0.500
Hg 0.000 0.500 0.000
Hg 0.000 0.000 0.500
Hg 0.500 0.000 0.000

Output
Distance to the lowest polymorph of the same formula   0.563 eV per atom
Crystal system   cubic
Density of states at the Fermi level   0.918 states/eV per atom
SG   Pm-3m, No. 221
Total energy   -2.02 eV/atom
DFT formation energy   1.42 eV/atom

---

VASP calculation (GGA-PBE) on a relaxed structure of Rb2BiAs2.

abc: 7.699 7.699 5.613
angles: 90.00 90.00 90.00
Positions (direct):
As 0.387 0.887 0.000
As 0.887 0.613 0.000
As 0.613 0.113 0.000
As 0.113 0.387 0.000
Bi 0.000 0.000 0.000
Bi 0.500 0.500 0.000
Rb 0.181 0.681 0.500
Rb 0.681 0.819 0.500
Rb 0.819 0.319 0.500
Rb 0.319 0.181 0.500

Output
Distance to the lowest polymorph of the same formula   0.008 eV per atom
Crystal system   tetragonal
Density of states at the Fermi level   0.634 states/eV per atom
SG   P4/mbm, No. 127
Total energy   -3.32 eV/atom
DFT formation energy   -0.30 eV/atom

---

VASP calculation (GGA-PBE) on a relaxed structure of MoAs2Cl.

abc: 4.567 4.567 4.567
angles: 120.08 120.08 89.86
Positions (direct):
Mo 0.750 0.250 0.500
As 0.000 0.000 0.000
As 0.250 0.750 0.500
Cl 0.500 0.500 0.000

Output
Distance to the lowest polymorph of the same formula   0.606 eV per atom
Formation energy (no corrections)   1.9 eV per formula unit
Crystal system   tetragonal
Density of states at the Fermi level   0.372 states/eV per atom
SG   I-4m2, No. 119
Total energy   -5.03 eV/atom

---

VASP calculation (GGA-PBE) on a relaxed structure of Zr2TaAu.

abc: 5.717 5.717 5.055
angles: 63.80 63.80 33.42
Positions (direct):
Au 0.750 0.750 0.750
Ta 0.250 0.250 0.250
Zr 0.001 0.001 0.999
Zr 0.499 0.499 0.501

Output
Distance to the lowest polymorph of the same formula   0.209 eV per atom
Crystal system   orthorhombic
Density of states at the Fermi level   0.871 states/eV per atom
SG   Immm, No. 71
Total energy   -8.09 eV/atom
DFT formation energy   -0.03 eV/atom

---

VASP calculation (GGA-PBE) on a relaxed structure of MgSc2In.

abc: 5.696 5.696 5.696
angles: 134.64 134.64 66.09
Positions (direct):
In 0.500 0.500 0.000
Mg 0.750 0.250 0.500
Sc 0.000 0.000 0.000
Sc 0.250 0.750 0.500

Output
Distance to the lowest polymorph of the same formula   0.126 eV per atom
Crystal system   tetragonal
Density of states at the Fermi level   1.329 states/eV per atom
SG   I-4m2, No. 119
Total energy   -4.42 eV/atom
DFT formation energy   -0.17 eV/atom